No. 1
Computed, not measured: a geometry-optimized SrZr2Al structure at the PBE level of DFT.

**Mass density**: 4.67 g cm⁻³
**E_form**: 19 kJ/mol of atoms
**Fermi-level density of states**: 1.175 states/eV/atom
**SG**: Cm

Cell: 5.3679 5.3679 6.4378 Å, 97.27 97.27 35.09°
With the nearest neighbours (Å) after each atom.
Fractional positions:
Sr1 0.0000 0.0000 0.0000  2 Sr 3.24, 3 Zr 3.37-3.57, 3 Al 3.37-3.38
Zr1 0.2253 0.2253 0.6636  2 Al 2.93, 5 Zr 3.01-3.24
Zr2 0.4841 0.4841 0.4908  5 Zr 3.01-3.24, 3 Al 3.04-3.15
Al1 0.7488 0.7488 0.2911  5 Zr 2.93-3.15, 2 Al 3.24



No. 2
Computed, not measured: a geometry-optimized Sr2ZrAl2 structure at the PBE level of DFT.

**Mass density**: 3.55 g cm⁻³
**E_form**: 10 kJ/mol of atoms
**Fermi-level density of states**: 1.078 states/eV/atom
**SG**: P4/mbm

Cell: 7.5472 7.5472 5.2620 Å, 90.00 90.00 90.00°
With the nearest neighbours (Å) after each atom.
Fractional positions:
Sr1 0.1757 0.3243 0.0000  6 Al 3.36-3.51, 1 Sr 3.75
Sr2 0.3243 0.8243 0.0000  6 Al 3.36-3.51, 1 Sr 3.75
Sr3 0.6757 0.1757 0.0000  6 Al 3.36-3.51, 1 Sr 3.75
Sr4 0.8243 0.6757 0.0000  6 Al 3.36-3.51, 1 Sr 3.75
Zr1 0.0000 0.0000 0.5000  4 Al 2.97
Zr2 0.5000 0.5000 0.5000  4 Al 2.97
Al1 0.1284 0.6284 0.5000  1 Al 2.74, 2 Zr 2.97
Al2 0.3716 0.1284 0.5000  1 Al 2.74, 2 Zr 2.97
Al3 0.6284 0.8716 0.5000  1 Al 2.74, 2 Zr 2.97
Al4 0.8716 0.3716 0.5000  1 Al 2.74, 2 Zr 2.97



No. 3
Computed, not measured: a geometry-optimized SrZr2Al structure at the PBE level of DFT.

**Mass density**: 4.90 g cm⁻³
**E_form**: 28 kJ/mol of atoms
**Fermi-level density of states**: 1.046 states/eV/atom
**SG**: Imm2

Cell: 6.3119 6.3119 6.3119 Å, 146.43 133.13 58.88°
With the nearest neighbours (Å) after each atom.
Fractional positions:
Sr1 0.0000 0.0000 0.0000  2 Al 3.18, 6 Zr 3.19-3.47
Zr1 0.2815 0.7815 0.5000  4 Al 3.11, 2 Zr 3.44, 2 Sr 3.47
Zr2 0.5670 0.5670 0.0000  2 Al 2.83
Al1 0.7634 0.2634 0.5000  6 Zr 2.83-3.11



No. 4
Computed, not measured: a geometry-optimized SrZr2Al structure at the PBE level of DFT.

**Mass density**: 4.86 g cm⁻³
**E_form**: 31 kJ/mol of atoms
**Fermi-level density of states**: 0.961 states/eV/atom
**SG**: F-43m

Cell: 5.2341 5.2341 5.2341 Å, 60.00 60.00 60.00°
With the nearest neighbours (Å) after each atom.
Fractional positions:
Sr1 0.0000 0.0000 0.0000  4 Zr 3.21, 4 Al 3.21
Zr1 0.5000 0.5000 0.5000  4 Zr 3.21, 4 Al 3.21
Zr2 0.7500 0.7500 0.7500  4 Zr 3.21, 4 Sr 3.21
Al1 0.2500 0.2500 0.2500  4 Zr 3.21, 4 Sr 3.21



No. 5
Computed, not measured: a geometry-optimized SrZr3Al structure at the PBE level of DFT.

**Mass density**: 4.86 g cm⁻³
**E_form**: 174 kJ/mol of atoms
**Fermi-level density of states**: 2.449 states/eV/atom
**SG**: Pm-3m

Cell: 5.1010 5.1010 5.1010 Å, 90.00 90.00 90.00°
With the nearest neighbours (Å) after each atom.
Fractional positions:
Sr1 0.0000 0.0000 0.0000  6 Zr 2.55
Zr1 0.0000 0.0000 0.5000  2 Sr 2.55
Zr2 0.0000 0.5000 0.0000  2 Sr 2.55
Zr3 0.5000 0.0000 0.0000  2 Sr 2.55
Al1 0.5000 0.5000 0.5000  12 Zr 3.61



No. 6
Computed, not measured: a geometry-optimized Sr2ZrAl structure at the PBE level of DFT.

**Mass density**: 3.92 g cm⁻³
**E_form**: 32 kJ/mol of atoms
**Fermi-level density of states**: 1.288 states/eV/atom
**SG**: P4/mmm

Cell: 3.5093 3.5093 10.0828 Å, 90.00 90.00 90.00°
With the nearest neighbours (Å) after each atom.
Fractional positions:
Sr1 0.0000 0.0000 0.2295  4 Al 3.39, 4 Sr 3.51, 4 Zr 3.69
Sr2 0.0000 0.0000 0.7705  4 Al 3.39, 4 Sr 3.51, 4 Zr 3.69
Zr1 0.5000 0.5000 0.5000  4 Zr 3.51, 8 Sr 3.69
Al1 0.5000 0.5000 0.0000  8 Sr 3.39, 4 Al 3.51



No. 7
Computed, not measured: a geometry-optimized SrZr2Al structure at the PBE level of DFT.

**Mass density**: 4.87 g cm⁻³
**E_form**: 8 kJ/mol of atoms
**Fermi-level density of states**: 1.346 states/eV/atom
**SG**: P4/mmm

Cell: 3.1898 3.1898 9.9473 Å, 90.00 90.00 90.00°
With the nearest neighbours (Å) after each atom.
Fractional positions:
Sr1 0.0000 0.0000 0.0000  4 Sr 3.19
Zr1 0.5000 0.5000 0.3090  4 Al 2.95, 4 Zr 3.19
Zr2 0.5000 0.5000 0.6910  4 Al 2.95, 4 Zr 3.19
Al1 0.0000 0.0000 0.5000  8 Zr 2.95, 4 Al 3.19



No. 8
Computed, not measured: a geometry-optimized Sr2ZrAl structure at the PBE level of DFT.

**Mass density**: 3.87 g cm⁻³
**E_form**: 41 kJ/mol of atoms
**Fermi-level density of states**: 1.283 states/eV/atom
**SG**: R-3m

Cell: 11.5950 11.5950 11.5950 Å, 17.72 17.72 17.72°
With the nearest neighbours (Å) after each atom.
Fractional positions:
Sr1 0.2456 0.2456 0.2456  3 Al 3.40, 6 Sr 3.57, 3 Zr 3.64
Sr2 0.7544 0.7544 0.7544  3 Al 3.40, 6 Sr 3.57, 3 Zr 3.64
Zr1 0.0000 0.0000 0.0000  6 Zr 3.57, 6 Sr 3.64
Al1 0.5000 0.5000 0.5000  6 Sr 3.40, 6 Al 3.57



No. 9
Computed, not measured: a geometry-optimized Sr2ZrAl structure at the PBE level of DFT.

**Mass density**: 3.78 g cm⁻³
**E_form**: 44 kJ/mol of atoms
**Fermi-level density of states**: 1.434 states/eV/atom
**SG**: P4/mmm

Cell: 5.8711 5.8711 3.7370 Å, 90.00 90.00 90.00°
With the nearest neighbours (Å) after each atom.
Fractional positions:
Sr1 0.0000 0.5000 0.0000  4 Zr 3.48, 4 Al 3.48, 2 Sr 3.74
Sr2 0.5000 0.0000 0.0000  4 Zr 3.48, 4 Al 3.48, 2 Sr 3.74
Zr1 0.0000 0.0000 0.5000  8 Sr 3.48, 2 Zr 3.74
Al1 0.5000 0.5000 0.5000  8 Sr 3.48, 2 Al 3.74



No. 10
Computed, not measured: a geometry-optimized Sr2ZrAl structure at the PBE level of DFT.

**Mass density**: 4.06 g cm⁻³
**E_form**: 37 kJ/mol of atoms
**Fermi-level density of states**: 1.337 states/eV/atom
**SG**: I-4m2

Cell: 5.8145 5.8145 5.8145 Å, 127.48 127.48 77.47°
With the nearest neighbours (Å) after each atom.
Fractional positions:
Sr1 0.0000 0.0000 0.0000  4 Zr 3.43, 4 Sr 3.43, 4 Al 3.64
Sr2 0.7500 0.2500 0.5000  4 Al 3.43, 4 Sr 3.43, 4 Zr 3.64
Zr1 0.2500 0.7500 0.5000  4 Al 3.43, 8 Sr 3.43-3.64
Al1 0.5000 0.5000 0.0000  4 Zr 3.43, 8 Sr 3.43-3.64



No. 11
Computed, not measured: a geometry-optimized SrZr2Al structure at the PBE level of DFT.

**Mass density**: 4.70 g cm⁻³
**E_form**: 14 kJ/mol of atoms
**Fermi-level density of states**: 0.934 states/eV/atom
**SG**: Pmmm

Cell: 3.2143 3.9767 8.2039 Å, 90.00 90.00 90.00°
With the nearest neighbours (Å) after each atom.
Fractional positions:
Sr1 0.0000 0.0000 0.0000  2 Sr 3.21
Zr1 0.5000 0.5000 0.3217  3 Zr 2.93-3.21, 4 Al 2.95
Zr2 0.5000 0.5000 0.6783  3 Zr 2.93-3.21, 4 Al 2.95
Al1 0.0000 0.0000 0.5000  8 Zr 2.95, 2 Al 3.21



No. 12
Computed, not measured: a geometry-optimized SrZr2Al2 structure at the PBE level of DFT.

**Mass density**: 4.60 g cm⁻³
**E_form**: -13 kJ/mol of atoms
**Fermi-level density of states**: 0.829 states/eV/atom
**SG**: P4/mbm

Cell: 8.6975 8.6975 3.0935 Å, 90.00 90.00 90.00°
With the nearest neighbours (Å) after each atom.
Fractional positions:
Sr1 0.0000 0.0000 0.0000  2 Sr 3.09, 4 Zr 3.46
Sr2 0.5000 0.5000 0.0000  2 Sr 3.09, 4 Zr 3.46
Zr1 0.1219 0.3781 0.0000  6 Al 2.98-3.01, 3 Zr 3.00-3.09
Zr2 0.3781 0.8781 0.0000  6 Al 2.98-3.01, 3 Zr 3.00-3.09
Zr3 0.6219 0.1219 0.0000  6 Al 2.98-3.01, 3 Zr 3.00-3.09
Zr4 0.8781 0.6219 0.0000  6 Al 2.98-3.01, 3 Zr 3.00-3.09
Al1 0.1713 0.6713 0.5000  6 Zr 2.98-3.01, 2 Al 3.09
Al2 0.3287 0.1713 0.5000  6 Zr 2.98-3.01, 2 Al 3.09
Al3 0.6713 0.8287 0.5000  6 Zr 2.98-3.01, 2 Al 3.09
Al4 0.8287 0.3287 0.5000  6 Zr 2.98-3.01, 2 Al 3.09



What did the twelfth record say?
Computed, not measured: a geometry-optimized SrZr2Al2 structure at the PBE level of DFT.

**Mass density**: 4.60 g cm⁻³
**E_form**: -13 kJ/mol of atoms
**Fermi-level density of states**: 0.829 states/eV/atom
**SG**: P4/mbm

Cell: 8.6975 8.6975 3.0935 Å, 90.00 90.00 90.00°
With the nearest neighbours (Å) after each atom.
Fractional positions:
Sr1 0.0000 0.0000 0.0000  2 Sr 3.09, 4 Zr 3.46
Sr2 0.5000 0.5000 0.0000  2 Sr 3.09, 4 Zr 3.46
Zr1 0.1219 0.3781 0.0000  6 Al 2.98-3.01, 3 Zr 3.00-3.09
Zr2 0.3781 0.8781 0.0000  6 Al 2.98-3.01, 3 Zr 3.00-3.09
Zr3 0.6219 0.1219 0.0000  6 Al 2.98-3.01, 3 Zr 3.00-3.09
Zr4 0.8781 0.6219 0.0000  6 Al 2.98-3.01, 3 Zr 3.00-3.09
Al1 0.1713 0.6713 0.5000  6 Zr 2.98-3.01, 2 Al 3.09
Al2 0.3287 0.1713 0.5000  6 Zr 2.98-3.01, 2 Al 3.09
Al3 0.6713 0.8287 0.5000  6 Zr 2.98-3.01, 2 Al 3.09
Al4 0.8287 0.3287 0.5000  6 Zr 2.98-3.01, 2 Al 3.09



The lowest mass density belongs to which entry?
Sr2ZrAl2



Fermi-level density of states of number 10 (Sr2ZrAl)?
1.337 states/eV/atom



The lowest mass density belongs to which entry?
Sr2ZrAl2